Entry 1:
BaSr2Dy: relaxed, PBE.

```
data_BaSr2Dy
_chemical_formula_sum 'Ba1 Sr2 Dy1'
_space_group_name_H-M_alt 'P 1'
_space_group_IT_number 1
_cell_length_a 3.940
_cell_length_b 3.940
_cell_length_c 14.502
_cell_angle_alpha 82.19
_cell_angle_beta 82.19
_cell_angle_gamma 60.00
loop_
_space_group_symop_operation_xyz
'x,y,z'
loop_
_atom_site_label
_atom_site_type_symbol
_atom_site_fract_x
_atom_site_fract_y
_atom_site_fract_z
Ba1 Ba 0.500 0.500 0.500
Dy1 Dy 0.000 0.000 0.000
Sr1 Sr 0.082 0.082 0.753
Sr2 Sr 0.918 0.918 0.247
```

For the density, the calculation gives 4.10 g/cm³. Its space group is R-3m. For the formation energy, the calculation gives 8.2 kcal/mol of atoms. As for the offset from the most stable computed form: 0.195 eV per atom. Its magnetization is 0.81 Bohr magnetons per cell.

---

Entry 2:
Dy4Th2Sc: relaxed, PBE.

```
data_Dy4Th2Sc
_chemical_formula_sum 'Dy4 Th2 Sc1'
_space_group_name_H-M_alt 'P 1'
_space_group_IT_number 1
_cell_length_a 5.350
_cell_length_b 5.350
_cell_length_c 9.283
_cell_angle_alpha 106.75
_cell_angle_beta 106.75
_cell_angle_gamma 90.00
loop_
_space_group_symop_operation_xyz
'x,y,z'
loop_
_atom_site_label
_atom_site_type_symbol
_atom_site_fract_x
_atom_site_fract_y
_atom_site_fract_z
Dy1 Dy 0.000 0.500 0.000
Dy2 Dy 0.500 0.000 0.000
Dy3 Dy 0.181 0.181 0.361
Dy4 Dy 0.819 0.819 0.639
Th1 Th 0.617 0.617 0.235
Th2 Th 0.383 0.383 0.765
Sc1 Sc 0.000 0.000 0.000
```

For the density, the calculation gives 7.93 g/cm³. Its space group is I4/mmm. For the formation energy, the calculation gives 16.3 kcal/mol of atoms. As for the offset from the most stable computed form: 0.409 eV per atom. Its magnetization is 1.14 Bohr magnetons per cell.

---

Entry 3:
Hf2OsRu2: relaxed, PBE.

```
data_Hf2OsRu2
_chemical_formula_sum 'Hf4 Os2 Ru4'
_space_group_name_H-M_alt 'P 1'
_space_group_IT_number 1
_cell_length_a 6.587
_cell_length_b 6.587
_cell_length_c 4.063
_cell_angle_alpha 90.00
_cell_angle_beta 90.00
_cell_angle_gamma 90.00
loop_
_space_group_symop_operation_xyz
'x,y,z'
loop_
_atom_site_label
_atom_site_type_symbol
_atom_site_fract_x
_atom_site_fract_y
_atom_site_fract_z
Hf1 Hf 0.819 0.319 0.500
Hf2 Hf 0.681 0.819 0.500
Hf3 Hf 0.319 0.181 0.500
Hf4 Hf 0.181 0.681 0.500
Ru1 Ru 0.368 0.868 0.000
Ru2 Ru 0.132 0.368 0.000
Ru3 Ru 0.868 0.632 0.000
Ru4 Ru 0.632 0.132 0.000
Os1 Os 0.500 0.500 0.000
Os2 Os 0.000 0.000 0.000
```

For the density, the calculation gives 14.12 g/cm³. Its space group is P4/mbm. For the formation energy, the calculation gives -4.7 kcal/mol of atoms. Its magnetization is 0.00 Bohr magnetons per cell.

---

Entry 4:
BeInN2: relaxed, PBE.

```
data_BeInN2
_chemical_formula_sum 'Be2 In2 N4'
_space_group_name_H-M_alt 'P 1'
_space_group_IT_number 1
_cell_length_a 4.469
_cell_length_b 4.469
_cell_length_c 5.546
_cell_angle_alpha 66.24
_cell_angle_beta 66.24
_cell_angle_gamma 90.00
loop_
_space_group_symop_operation_xyz
'x,y,z'
loop_
_atom_site_label
_atom_site_type_symbol
_atom_site_fract_x
_atom_site_fract_y
_atom_site_fract_z
In1 In 0.750 0.250 0.500
In2 In 0.000 0.000 0.000
N1 N 0.546 0.125 0.250
N2 N 0.375 0.454 0.750
N3 N 0.204 0.625 0.250
N4 N 0.875 0.796 0.750
Be1 Be 0.500 0.500 0.000
Be2 Be 0.250 0.750 0.500
```

For the density, the calculation gives 5.54 g/cm³. Its space group is I-42d. Its energy relative to the elements, uncorrected is 0.075 eV/atom. As for the offset from the most stable computed form: 0.000 eV per atom. Its magnetization is 1.54 Bohr magnetons per cell.

---

> Which of these has the lowest density?

BaSr2Dy